[1]
# PBE-GGA Dy5Ho2In, optimized geometry
# **DFT formation energy**: -0.113 eV per atom
# **Uncorrected energy**: -4.476 eV per atom
# **Energy above the most stable polymorph in this dataset**: 0.0 meV/atom
# **Fermi-level density of states**: 10.27 states/eV/f.u.
data_Dy5Ho2In
_cell_length_a 4.892
_cell_length_b 4.892
_cell_length_c 20.009
_cell_angle_alpha 90.00
_cell_angle_beta 90.00
_cell_angle_gamma 90.00
_symmetry_space_group_name_H-M 'I 4/m m m'
_symmetry_Int_Tables_number 139
_symmetry_space_group_name_Hall '-I 4 2'
loop_
_atom_site_label
_atom_site_fract_x
_atom_site_fract_y
_atom_site_fract_z
Dy1 0.000 0.000 0.000
Dy2 0.000 0.500 0.122
Ho1 0.000 0.000 0.246
In1 0.000 0.000 0.500

---

[2]
# PBE-GGA Nd2Dy2Y5, optimized geometry
# **DFT formation energy**: 0.242 eV per atom
# **Uncorrected energy**: -5.431 eV per atom
# **Energy above the most stable polymorph in this dataset**: 19.4 meV/atom
# **Fermi-level density of states**: 13.93 states/eV/f.u.
data_Nd2Dy2Y5
_cell_length_a 21.791
_cell_length_b 3.508
_cell_length_c 8.302
_cell_angle_alpha 90.00
_cell_angle_beta 100.34
_cell_angle_gamma 90.00
_symmetry_space_group_name_H-M 'C 1 2/m 1'
_symmetry_Int_Tables_number 12
loop_
_symmetry_equiv_pos_as_xyz
'x,y,z'
'-x,-y,-z'
'-x,y,-z'
'x,-y,z'
'x+1/2,y+1/2,z'
'-x+1/2,-y+1/2,-z'
'-x+1/2,y+1/2,-z'
'x+1/2,-y+1/2,z'
loop_
_atom_site_label
_atom_site_fract_x
_atom_site_fract_y
_atom_site_fract_z
Nd1 0.181 0.000 0.145
Dy1 0.046 0.500 0.357
Y1 0.000 0.000 0.000
Y2 0.096 0.000 0.735
Y3 0.190 0.500 0.530

---

[3]
# PBE-GGA NdTm2PuAs4, optimized geometry
# **DFT formation energy**: -1.368 eV per atom
# **Uncorrected energy**: -7.198 eV per atom
# **Fermi-level density of states**: 13.34 states/eV/f.u.
data_NdTm2PuAs4
_cell_length_a 7.146
_cell_length_b 4.143
_cell_length_c 7.163
_cell_angle_alpha 90.00
_cell_angle_beta 109.50
_cell_angle_gamma 90.00
_symmetry_space_group_name_H-M 'P 1 2/m 1'
_symmetry_Int_Tables_number 10
loop_
_symmetry_equiv_pos_as_xyz
'x,y,z'
'-x,-y,-z'
'-x,y,-z'
'x,-y,z'
loop_
_atom_site_label
_atom_site_fract_x
_atom_site_fract_y
_atom_site_fract_z
Nd1 0.000 0.000 0.000
Tm1 0.500 0.000 0.500
Tm2 0.500 0.500 0.000
Pu1 0.000 0.500 0.500
As1 0.256 0.000 0.747
As2 0.260 0.500 0.258

---

[4]
# PBE-GGA RbInP, optimized geometry
# **DFT formation energy**: 0.018 eV per atom
# **Uncorrected energy**: -3.020 eV per atom
# **Fermi-level density of states**: 1.73 states/eV/f.u.
data_RbInP
_cell_length_a 10.447
_cell_length_b 11.418
_cell_length_c 15.150
_cell_angle_alpha 90.00
_cell_angle_beta 90.00
_cell_angle_gamma 90.00
_symmetry_space_group_name_H-M 'F d d d'
_symmetry_Int_Tables_number 70
loop_
_symmetry_equiv_pos_as_xyz
'x,y,z'
'-x,-y,-z'
'-x+1/4,-y+1/4,z'
'x+1/4,y+1/4,-z'
'x,-y+1/4,-z+1/4'
'-x,y+1/4,z+1/4'
'-x+1/4,y,-z+1/4'
'x+1/4,-y,z+1/4'
'x,y+1/2,z+1/2'
'-x,-y+1/2,-z+1/2'
'-x+1/4,-y+3/4,z+1/2'
'x+1/4,y+3/4,-z+1/2'
'x,-y+3/4,-z+3/4'
'-x,y+3/4,z+3/4'
'-x+1/4,y+1/2,-z+3/4'
'x+1/4,-y+1/2,z+3/4'
'x+1/2,y,z+1/2'
'-x+1/2,-y,-z+1/2'
'-x+3/4,-y+1/4,z+1/2'
'x+3/4,y+1/4,-z+1/2'
'x+1/2,-y+1/4,-z+3/4'
'-x+1/2,y+1/4,z+3/4'
'-x+3/4,y,-z+3/4'
'x+3/4,-y,z+3/4'
'x+1/2,y+1/2,z'
'-x+1/2,-y+1/2,-z'
'-x+3/4,-y+3/4,z'
'x+3/4,y+3/4,-z'
'x+1/2,-y+3/4,-z+1/4'
'-x+1/2,y+3/4,z+1/4'
'-x+3/4,y+1/2,-z+1/4'
'x+3/4,-y+1/2,z+1/4'
loop_
_atom_site_label
_atom_site_fract_x
_atom_site_fract_y
_atom_site_fract_z
Rb1 0.125 0.125 0.256
In1 0.000 0.000 0.500
P1 0.095 0.375 0.875

---

[5]
# PBE-GGA SnGeP3, optimized geometry
# **DFT formation energy**: 0.056 eV per atom
# **Uncorrected energy**: -4.914 eV per atom
# **Energy above the most stable polymorph in this dataset**: 0.0 meV/atom
# **Fermi-level density of states**: 0.95 states/eV/f.u.
data_SnGeP3
_cell_length_a 6.574
_cell_length_b 10.671
_cell_length_c 6.649
_cell_angle_alpha 90.00
_cell_angle_beta 90.00
_cell_angle_gamma 90.00
_symmetry_space_group_name_H-M 'P n m a'
_symmetry_Int_Tables_number 62
loop_
_symmetry_equiv_pos_as_xyz
'x,y,z'
'-x,-y,-z'
'-x+1/2,-y,z+1/2'
'x+1/2,y,-z+1/2'
'x+1/2,-y+1/2,-z+1/2'
'-x+1/2,y+1/2,z+1/2'
'-x,y+1/2,-z'
'x,-y+1/2,z'
loop_
_atom_site_label
_atom_site_fract_x
_atom_site_fract_y
_atom_site_fract_z
Sn1 0.000 0.000 0.000
Ge1 0.149 0.250 0.416
P1 0.016 0.250 0.088
P2 0.100 0.054 0.595

---

[6]
# PBE-GGA Y11Al9Pd4, optimized geometry
# **DFT formation energy**: -0.616 eV per atom
# **Uncorrected energy**: -5.847 eV per atom
# **Fermi-level density of states**: 14.79 states/eV/f.u.
data_Y11Al9Pd4
_cell_length_a 14.168
_cell_length_b 21.390
_cell_length_c 3.607
_cell_angle_alpha 90.00
_cell_angle_beta 90.00
_cell_angle_gamma 90.00
_symmetry_space_group_name_H-M 'C m m m'
_symmetry_Int_Tables_number 65
_symmetry_space_group_name_Hall '-C 2 2'
loop_
_atom_site_label
_atom_site_fract_x
_atom_site_fract_y
_atom_site_fract_z
Y1 0.000 0.000 0.000
Y2 0.000 0.163 0.000
Y3 0.000 0.371 0.000
Y4 0.197 0.500 0.000
Y5 0.236 0.174 0.000
Al1 0.000 0.500 0.500
Al2 0.101 0.266 0.500
Al3 0.145 0.070 0.500
Pd1 0.156 0.398 0.500

---

[7]
# PBE-GGA SmPu2Ir, optimized geometry
# **DFT formation energy**: 0.095 eV per atom
# **Uncorrected energy**: -10.466 eV per atom
# **Energy above the most stable polymorph in this dataset**: 374.0 meV/atom
# **Fermi-level density of states**: 14.44 states/eV/f.u.
data_SmPu2Ir
_cell_length_a 3.7123
_cell_length_b 3.7123
_cell_length_c 29.4980
_cell_angle_alpha 90.00
_cell_angle_beta 90.00
_cell_angle_gamma 120.00
_symmetry_space_group_name_H-M 'R -3 m'
_symmetry_Int_Tables_number 166
_symmetry_space_group_name_Hall '-R 3 2"'
loop_
_atom_site_label
_atom_site_fract_x
_atom_site_fract_y
_atom_site_fract_z
Sm1 0.0000 0.0000 0.0000
Pu1 0.0000 0.0000 0.1078
Ir1 0.0000 0.0000 0.5000

---

[8]
# PBE-GGA UTiS2N, optimized geometry
# **Uncorrected formation energy**: -1.409 eV/atom
# **Uncorrected energy**: -8.562 eV per atom
# **Fermi-level density of states**: 6.67 states/eV/f.u.
data_UTiS2N
_cell_length_a 3.626
_cell_length_b 3.626
_cell_length_c 12.576
_cell_angle_alpha 90.00
_cell_angle_beta 90.00
_cell_angle_gamma 90.00
_symmetry_space_group_name_H-M 'P 4/n m m'
_symmetry_Int_Tables_number 129
loop_
_symmetry_equiv_pos_as_xyz
'x,y,z'
'-x,-y,-z'
'-y+1/2,x,z'
'y+1/2,-x,-z'
'-x+1/2,-y+1/2,z'
'x+1/2,y+1/2,-z'
'y,-x+1/2,z'
'-y,x+1/2,-z'
'x+1/2,-y,-z'
'-x+1/2,y,z'
'-y,-x,-z'
'y,x,z'
'-x,y+1/2,-z'
'x,-y+1/2,z'
'y+1/2,x+1/2,-z'
'-y+1/2,-x+1/2,z'
loop_
_atom_site_label
_atom_site_fract_x
_atom_site_fract_y
_atom_site_fract_z
U1 0.250 0.250 0.101
Ti1 0.250 0.250 0.587
S1 0.250 0.250 0.393
S2 0.250 0.250 0.790
N1 0.250 0.750 0.000

---

[9]
# PBE-GGA Sr2TcPdN, optimized geometry
# **Uncorrected formation energy**: -0.284 eV/atom
# **Uncorrected energy**: -5.734 eV per atom
# **Fermi-level density of states**: 5.06 states/eV/f.u.
data_Sr2TcPdN
_cell_length_a 5.341
_cell_length_b 5.341
_cell_length_c 3.868
_cell_angle_alpha 90.00
_cell_angle_beta 90.00
_cell_angle_gamma 90.00
_symmetry_space_group_name_H-M 'P 4/m m m'
_symmetry_Int_Tables_number 123
_symmetry_space_group_name_Hall '-P 4 2'
loop_
_atom_site_label
_atom_site_fract_x
_atom_site_fract_y
_atom_site_fract_z
Sr1 0.000 0.500 0.000
Tc1 0.000 0.000 0.500
Pd1 0.500 0.500 0.500
N1 0.000 0.000 0.000

---

[10]
# PBE-GGA Mg2BeAu8, optimized geometry
# **DFT formation energy**: -0.313 eV per atom
# **Uncorrected energy**: -3.325 eV per atom
# **Fermi-level density of states**: 2.97 states/eV/f.u.
data_Mg2BeAu8
_cell_length_a 14.908
_cell_length_b 4.697
_cell_length_c 5.941
_cell_angle_alpha 90.00
_cell_angle_beta 113.16
_cell_angle_gamma 90.00
_symmetry_space_group_name_H-M 'C 1 2/m 1'
_symmetry_Int_Tables_number 12
loop_
_symmetry_equiv_pos_as_xyz
'x,y,z'
'-x,-y,-z'
'-x,y,-z'
'x,-y,z'
'x+1/2,y+1/2,z'
'-x+1/2,-y+1/2,-z'
'-x+1/2,y+1/2,-z'
'x+1/2,-y+1/2,z'
loop_
_atom_site_label
_atom_site_fract_x
_atom_site_fract_y
_atom_site_fract_z
Mg1 0.188 0.000 0.187
Be1 0.000 0.500 0.500
Au1 0.000 0.000 0.252
Au2 0.126 0.500 0.886
Au3 0.127 0.500 0.367
Au4 0.190 0.000 0.690

---

[11]
# PBE-GGA Ba2Hg2H4Pt, optimized geometry
# **Uncorrected energy**: -3.002 eV per atom
# **Fermi-level density of states**: 3.87 states/eV/f.u.
data_Ba2Hg2H4Pt
_cell_length_a 6.507
_cell_length_b 6.507
_cell_length_c 8.571
_cell_angle_alpha 90.00
_cell_angle_beta 90.00
_cell_angle_gamma 90.00
_symmetry_space_group_name_H-M 'I 4/m m m'
_symmetry_Int_Tables_number 139
_symmetry_space_group_name_Hall '-I 4 2'
loop_
_atom_site_label
_atom_site_fract_x
_atom_site_fract_y
_atom_site_fract_z
Ba1 0.000 0.500 0.250
Hg1 0.000 0.000 0.161
H1 0.185 0.185 0.500
Pt1 0.000 0.000 0.500

---

[12]
# PBE-GGA LaSe2SN, optimized geometry
# **Uncorrected formation energy**: 0.703 eV/atom
# **Uncorrected energy**: -4.167 eV per atom
# **Energy above the most stable polymorph in this dataset**: 828.2 meV/atom
# **Fermi-level density of states**: 6.44 states/eV/f.u.
data_LaSe2SN
_cell_length_a 5.952
_cell_length_b 5.952
_cell_length_c 4.232
_cell_angle_alpha 90.00
_cell_angle_beta 90.00
_cell_angle_gamma 90.00
_symmetry_space_group_name_H-M 'P 4/m m m'
_symmetry_Int_Tables_number 123
_symmetry_space_group_name_Hall '-P 4 2'
loop_
_atom_site_label
_atom_site_fract_x
_atom_site_fract_y
_atom_site_fract_z
La1 0.000 0.000 0.000
Se1 0.000 0.500 0.000
S1 0.500 0.500 0.500
N1 0.000 0.000 0.500